DFT (PBE) results for crystalline Cs4AsI5 at its relaxed geometry.

Cell: 9.278 9.278 9.278 Å, 109.55 109.55 109.31°
Positions (direct):
Cs 0.101 0.709 0.810
Cs 0.291 0.101 0.393
Cs 0.709 0.899 0.607
Cs 0.899 0.291 0.190
As 0.657 0.657 0.000
I 0.165 0.165 0.000
I 0.384 0.568 0.652
I 0.568 0.916 0.185
I 0.731 0.384 0.815
I 0.916 0.731 0.348

Summary:
Space group = No. 79
Energy relative to the elements, uncorrected = -1036 meV per atom

DFT (PBE) results for crystalline EuInPt at its relaxed geometry.

Cell: 4.832 4.832 4.832 Å, 60.00 60.00 60.00°
Positions (direct):
Eu 0.000 0.000 0.000
In 0.500 0.500 0.500
Pt 0.750 0.750 0.750

Summary:
Space group = No. 216
E_form = -2.113 eV per formula unit

DFT (PBE) results for crystalline CaYTe2 at its relaxed geometry.

Cell: 9.907 9.907 9.907 Å, 25.79 25.79 25.79°
Positions (direct):
Ca 0.000 0.000 0.000
Y 0.500 0.500 0.500
Te 0.106 0.106 0.106
Te 0.894 0.894 0.894

Summary:
Energy above the most stable polymorph in this dataset = 0.368 eV/atom
Space group = No. 166
Energy relative to the elements, uncorrected = -1102 meV per atom

DFT (PBE) results for crystalline Mn2VS6 at its relaxed geometry.

Cell: 5.586 5.586 10.148 Å, 90.00 90.00 90.00°
Positions (direct):
Mn 0.000 0.000 0.168
Mn 0.000 0.000 0.832
Mn 0.500 0.500 0.332
Mn 0.500 0.500 0.668
V 0.000 0.000 0.500
V 0.500 0.500 0.000
S 0.194 0.194 0.000
S 0.198 0.198 0.335
S 0.198 0.198 0.665
S 0.302 0.698 0.165
S 0.302 0.698 0.835
S 0.306 0.694 0.500
S 0.694 0.306 0.500
S 0.698 0.302 0.165
S 0.698 0.302 0.835
S 0.802 0.802 0.335
S 0.802 0.802 0.665
S 0.806 0.806 0.000

Summary:
Energy above the most stable polymorph in this dataset = 0.165 eV/atom
Space group = No. 136
Energy relative to the elements, uncorrected = -479 meV per atom

DFT (PBE) results for crystalline ScNi2SnH at its relaxed geometry.

Cell: 4.085 4.085 3.930 Å, 90.00 90.00 90.00°
Positions (direct):
Sc 0.000 0.000 0.000
Ni 0.000 0.500 0.500
Ni 0.500 0.000 0.500
Sn 0.500 0.500 0.000
H 0.000 0.000 0.500

Summary:
Space group = No. 123
Final energy = -5.342 eV/atom

DFT (PBE) results for crystalline CsNaIrO4 at its relaxed geometry.

Cell: 6.147 6.147 6.147 Å, 116.44 116.44 96.28°
Positions (direct):
Cs 0.000 0.000 0.000
Na 0.500 0.500 0.000
Ir 0.250 0.750 0.500
O 0.214 0.601 0.148
O 0.399 0.547 0.613
O 0.453 0.066 0.852
O 0.934 0.786 0.387

Summary:
Space group = No. 82
Energy relative to the elements, uncorrected = -1027 meV per atom

DFT (PBE) results for crystalline PrGa2Ge at its relaxed geometry.

Cell: 6.691 6.691 6.691 Å, 97.48 97.48 97.48°
Positions (direct):
Pr 0.000 0.000 0.000
Pr 0.323 0.323 0.323
Pr 0.677 0.677 0.677
Ga 0.238 0.500 0.762
Ga 0.238 0.762 0.500
Ga 0.500 0.238 0.762
Ga 0.500 0.762 0.238
Ga 0.762 0.238 0.500
Ga 0.762 0.500 0.238
Ge 0.000 0.000 0.500
Ge 0.000 0.500 0.000
Ge 0.500 0.000 0.000

Summary:
Energy above the most stable polymorph in this dataset = 0.349 eV/atom
Space group = No. 166
E_form = -0.571 eV per formula unit

DFT (PBE) results for crystalline RbPr4Bi3O12 at its relaxed geometry.

Cell: 7.728 7.728 7.728 Å, 109.47 109.47 109.47°
Positions (direct):
Rb 0.000 0.000 0.000
Pr 0.000 0.000 0.500
Pr 0.000 0.500 0.000
Pr 0.500 0.000 0.000
Pr 0.500 0.500 0.500
Bi 0.000 0.500 0.500
Bi 0.500 0.000 0.500
Bi 0.500 0.500 0.000
O 0.143 0.822 0.320
O 0.178 0.320 0.498
O 0.178 0.680 0.857
O 0.320 0.143 0.822
O 0.320 0.498 0.178
O 0.498 0.178 0.320
O 0.502 0.822 0.680
O 0.680 0.502 0.822
O 0.680 0.857 0.178
O 0.822 0.320 0.143
O 0.822 0.680 0.502
O 0.857 0.178 0.680

Summary:
Space group = No. 204
Energy relative to the elements, uncorrected = -2079 meV per atom